# ZrCo2W

A relaxed ZrCo2W crystal (GGA-PBE, the Alexandria database).

Cell: 3.156 3.156 5.964 Å, 90.00 90.00 90.00°
Sites, in units of the cell vectors:
Zr (0.000, 0.000, 0.000)
Co (0.000, 0.000, 0.480)
Co (0.500, 0.500, 0.248)
W (0.500, 0.500, 0.669)

Results
Space group: P4mm (99)
Calculated formation energy (eV per atom): 0.07
Total moment (μB/f.u.): 0.2
Excess energy over the best structure of this formula in the dataset (meV/atom): 129